Crystalline MnBeS3 at its relaxed geometry. Source: Alexandria, functional PBE. Values from VASP.

Cell and atoms, written as Quantum ESPRESSO input:
```
&SYSTEM
  ibrav = 0, nat = 5, ntyp = 3
/
ATOMIC_SPECIES
Be 9.01 Be.upf
S 32.06 S.upf
Mn 54.94 Mn.upf
ATOMIC_POSITIONS crystal
Be 0.000 0.000 0.000
S 0.000 0.500 0.000
S 0.000 0.000 0.500
S 0.500 0.000 0.000
Mn 0.500 0.500 0.500
CELL_PARAMETERS angstrom
-0.646 -1.284 3.969
4.168 -0.030 0.669
-0.175 4.021 1.272
```

Values from the calculation:
* E_form (uncorrected): 3.77 eV per formula unit
* magnetization: 0.055 Bohr magnetons per cell
* E above lowest polymorph: 195 meV per atom